Below is a relaxed structure of HgAs2Au2, with properties calculated at the PBE level.

Unit cell a=4.477 b=4.477 c=11.161 alpha=90.00 beta=90.00 gamma=90.00
Space group I4/mmm (No. 139)
One atom of each set of equivalent atoms:
1 Hg 0.000 0.000 0.000
2 As 0.000 0.000 0.383
3 Au 0.000 0.500 0.250

Raw total energy: -15.1 eV/f.u.
E above lowest polymorph: 0 meV/atom
ΔE_f: 211 meV per atom
Magnetic moment: 0.000 μB/f.u.